(1)
Pm5Si3 after structural relaxation. Source: the Alexandria database, functional GGA-PBE.

Cell: 8.821 8.821 8.821 Å, 127.86 127.86 76.85°
Atoms (fractional coordinates):
Pm  0.000  0.000  0.000
Pm  0.031  0.531  0.854
Pm  0.178  0.031  0.500
Pm  0.322  0.822  0.854
Pm  0.469  0.322  0.500
Pm  0.500  0.500  0.000
Pm  0.531  0.678  0.500
Pm  0.678  0.178  0.146
Pm  0.822  0.969  0.500
Pm  0.969  0.469  0.146
Si  0.117  0.383  0.500
Si  0.250  0.250  0.000
Si  0.383  0.883  0.266
Si  0.617  0.117  0.734
Si  0.750  0.750  0.000
Si  0.883  0.617  0.500

Summary:
- energy relative to the elements, uncorrected (eV/f.u.) = -4.83
- space-group type = I4/mcm

(2)
Pm3Si5 after structural relaxation. Source: the Alexandria database, functional GGA-PBE.

Cell: 11.083 7.481 9.144 Å, 82.97 42.06 54.97°
Atoms (fractional coordinates):
Pm  0.000  0.000  0.000
Pm  0.250  0.250  0.250
Pm  0.332  0.660  0.330
Pm  0.573  0.920  0.590
Pm  0.660  0.332  0.677
Pm  0.920  0.573  0.918
Si  0.060  0.767  0.268
Si  0.177  0.495  0.981
Si  0.269  0.903  0.073
Si  0.345  0.982  0.483
Si  0.495  0.177  0.347
Si  0.567  0.567  0.433
Si  0.767  0.060  0.905
Si  0.817  0.817  0.683
Si  0.903  0.269  0.755
Si  0.982  0.345  0.190

Summary:
- energy relative to the elements, uncorrected (eV/f.u.) = -5.49
- space-group type = Fdd2

(3)
Pm3Si after structural relaxation. Source: the Alexandria database, functional GGA-PBE.

Cell: 5.350 5.350 5.350 Å, 60.00 60.00 60.00°
Atoms (fractional coordinates):
Pm  0.000  0.000  0.000
Pm  0.250  0.250  0.250
Pm  0.750  0.750  0.750
Si  0.500  0.500  0.500

Summary:
- energy relative to the elements, uncorrected (eV/f.u.) = -0.09
- space-group type = Fm-3m

(4)
PmSi5 after structural relaxation. Source: the Alexandria database, functional GGA-PBE.

Cell: 6.745 6.745 3.469 Å, 90.00 90.00 136.48°
Atoms (fractional coordinates):
Pm  0.000  0.000  0.000
Si  0.208  0.792  0.500
Si  0.350  0.650  0.000
Si  0.500  0.500  0.500
Si  0.650  0.350  0.000
Si  0.792  0.208  0.500

Summary:
- energy relative to the elements, uncorrected (eV/f.u.) = 0.42
- space-group type = Cmmm

(5)
Pm3Si after structural relaxation. Source: the Alexandria database, functional GGA-PBE.

Cell: 5.938 5.938 5.938 Å, 133.66 133.66 67.62°
Atoms (fractional coordinates):
Pm  0.000  0.000  0.000
Pm  0.250  0.750  0.500
Pm  0.750  0.250  0.500
Si  0.500  0.500  0.000

Summary:
- energy relative to the elements, uncorrected (eV/f.u.) = -0.83
- space-group type = I4/mmm

(6)
Pm3Si after structural relaxation. Source: the Alexandria database, functional GGA-PBE.

Cell: 12.297 12.297 6.087 Å, 90.00 90.00 90.00°
Atoms (fractional coordinates):
Pm  0.029  0.574  0.240
Pm  0.074  0.971  0.740
Pm  0.114  0.217  0.017
Pm  0.135  0.668  0.730
Pm  0.168  0.865  0.230
Pm  0.217  0.386  0.483
Pm  0.283  0.114  0.483
Pm  0.332  0.635  0.230
Pm  0.365  0.832  0.730
Pm  0.386  0.283  0.017
Pm  0.426  0.529  0.740
Pm  0.471  0.926  0.240
Pm  0.529  0.074  0.760
Pm  0.574  0.471  0.260
Pm  0.614  0.717  0.983
Pm  0.635  0.168  0.270
Pm  0.668  0.365  0.770
Pm  0.717  0.886  0.517
Pm  0.783  0.614  0.517
Pm  0.832  0.135  0.770
Pm  0.865  0.332  0.270
Pm  0.886  0.783  0.983
Pm  0.926  0.029  0.260
Pm  0.971  0.426  0.760
Si  0.047  0.206  0.527
Si  0.206  0.453  0.973
Si  0.294  0.047  0.973
Si  0.453  0.294  0.527
Si  0.547  0.706  0.473
Si  0.706  0.953  0.027
Si  0.794  0.547  0.027
Si  0.953  0.794  0.473

Summary:
- energy relative to the elements, uncorrected (eV/f.u.) = -1.51
- space-group type = P4_2/n